{"formula": "PrZr2RhN4", "functional": "PBE-GGA", "state": "relaxed", "e_tot_ev_per_atom": -8.886, "vol_a3_per_atom": 13.45, "raw_formation_energy_ev_per_atom": -1.070, "lattice": [[-2.044, -2.306, 1.081], [5.391, -1.497, 2.069], [-1.932, 6.166, 9.497]], "species": ["N", "N", "N", "N", "N", "N", "N", "N", "Rh", "Rh", "Pr", "Pr", "Zr", "Zr", "Zr", "Zr"], "fractional_positions": [[0.730, 0.460, 0.608], [0.730, 0.460, 0.892], [0.545, 0.089, 0.250], [0.455, 0.911, 0.750], [0.000, 0.000, 0.000], [0.270, 0.540, 0.108], [0.270, 0.540, 0.392], [0.000, 0.000, 0.500], [0.849, 0.699, 0.750], [0.151, 0.301, 0.250], [0.113, 0.226, 0.750], [0.887, 0.774, 0.250], [0.631, 0.262, 0.450], [0.369, 0.738, 0.550], [0.369, 0.738, 0.950], [0.631, 0.262, 0.050]]}